a) Material: HfTi4In5
Method: DFT, GGA-PBE
State: optimized geometry

Results
Crystal system: tetragonal
Mass density, g cm⁻³: 7.96

Unit cell a=3.027 b=3.027 c=21.475 alpha=90.00 beta=90.00 gamma=90.00
Space group P4/mmm (No. 123)
Inequivalent atoms, fractional coordinates:
Hf 0.000 0.000 0.000 [1 per cell]
Ti 0.000 0.000 0.205 [2 per cell]
Ti 0.000 0.000 0.402 [2 per cell]
In 0.500 0.500 0.107 [2 per cell]
In 0.500 0.500 0.304 [2 per cell]
In 0.500 0.500 0.500 [1 per cell]

---

b) Material: HfTi4In5
Method: DFT, GGA-PBE
State: optimized geometry

Results
Crystal system: orthorhombic
Mass density, g cm⁻³: 6.76

Unit cell a=6.092 b=10.670 c=7.132 alpha=90.00 beta=90.00 gamma=90.00
Space group Pmmn (No. 59, origin choice 2)
Inequivalent atoms, fractional coordinates:
Hf 0.250 0.250 0.154 [2 per cell]
Ti 0.019 0.250 0.801 [4 per cell]
Ti 0.250 0.121 0.512 [4 per cell]
In 0.007 0.519 0.799 [8 per cell]
In 0.250 0.750 0.547 [2 per cell]

---

The data favor a); the next most stable structure lies 419 meV per atom above it.